A crystal of Cr2IrI relaxed with PBEsol, computed with meta-GGA SCAN.

Properties
The calculation puts the formation energy without anion corrections at 0.92 eV per atom. The calculation puts the density of states at the Fermi level at 8.8 states/eV/cell.

a = 6.121 Å, b = 6.121 Å, c = 6.121 Å
α = 90.00°, β = 90.00°, γ = 90.00°
Space group Fm-3m (No. 225)
Inequivalent atoms, fractional coordinates:
Cr (0.250, 0.250, 0.250)
Ir (0.000, 0.000, 0.000)
I (0.000, 0.000, 0.500)

=====

A crystal of KCrMo2I relaxed with PBEsol, computed with meta-GGA SCAN.

Properties
The calculation puts the formation energy without anion corrections at 1.75 eV per atom. The calculation puts the density of states at the Fermi level at 2.7 states/eV/cell.

a = 5.050 Å, b = 5.050 Å, c = 5.057 Å
α = 90.00°, β = 90.00°, γ = 90.00°
Space group P4/mmm (No. 123)
Inequivalent atoms, fractional coordinates:
K (0.000, 0.000, 0.000)
Cr (0.500, 0.500, 0.000)
Mo (0.000, 0.500, 0.500)
I (0.500, 0.500, 0.500)

=====

A crystal of KCrIO6 relaxed with PBEsol, computed with meta-GGA SCAN.

Properties
The calculation puts the formation energy without anion corrections at -1.38 eV per atom. The calculation puts the density of states at the Fermi level at 0.0 states/eV/cell.

a = 9.250 Å, b = 4.579 Å, c = 13.975 Å
α = 90.00°, β = 107.73°, γ = 90.00°
Space group P2_1/c (No. 14)
Inequivalent atoms, fractional coordinates:
K (0.098, 0.104, 0.162)
Cr (0.227, 0.521, 0.971)
I (0.435, 0.660, 0.334)
O (0.125, 0.110, 0.365)
O (0.125, 0.741, 0.012)
O (0.245, 0.601, 0.255)
O (0.295, 0.237, 0.553)
O (0.384, 0.716, 0.953)
O (0.456, 0.037, 0.292)

=====

A crystal of KCrTeI2 relaxed with PBEsol, computed with meta-GGA SCAN.

Properties
The calculation puts the formation energy without anion corrections at -0.69 eV per atom. The calculation puts the density of states at the Fermi level at 2.6 states/eV/cell.

a = 5.698 Å, b = 5.698 Å, c = 5.155 Å
α = 90.00°, β = 90.00°, γ = 90.00°
Space group P4/mmm (No. 123)
Inequivalent atoms, fractional coordinates:
K (0.000, 0.000, 0.000)
Cr (0.500, 0.500, 0.500)
Te (0.500, 0.500, 0.000)
I (0.000, 0.500, 0.500)